1.
This record from the Alexandria database describes crystalline Re2TcIr at its relaxed geometry. The functional is PBEsol.

```
Re2TcIr
1.0
-0.225 4.340 0.211
-2.592 1.904 2.931
1.730 2.106 3.391
Re Ir Tc
2 1 1
Cartesian
-0.815 6.262 4.900 Re
0.000 0.000 0.000 Re
-0.543 4.175 3.267 Ir
-0.272 2.087 1.633 Tc
```

Computed properties:
E_tot ... -0.42441 hartree per atom
SG ... No. 216
E above lowest polymorph ... 0.459 eV/atom
E_form ... 0.3896 eV per atom

=====

2.
This record from the Alexandria database describes crystalline ReTcIr2 at its relaxed geometry. The functional is PBEsol.

```
ReTcIr2
1.0
2.707 0.000 0.000
0.000 4.684 -0.001
-1.354 -0.780 4.450
Ir Re Tc
2 1 1
Cartesian
1.354 3.121 2.226 Ir
0.000 0.782 2.223 Ir
1.354 0.000 0.000 Re
0.000 2.342 -0.001 Tc
```

Computed properties:
E_tot ... -0.41058 hartree per atom
SG ... No. 12
E above lowest polymorph ... 0.194 eV/atom
E_form ... -0.1111 eV per atom